(1)
# ScFe3O8

A geometry-optimized ScFe3O8 structure (PBE with a Hubbard U, Alexandria via LeMat-Bulk).

The structure belongs to space group Immm (No. 71); the cell edges are 6.055, 6.526 and 6.672 Å and the angles 90.00°, 90.00° and 90.00°. The distinct sites, in fractional coordinates, are Sc at (0.000, 0.000, 0.000), Fe at (0.000, 0.500, 0.500), Fe at (0.243, 0.000, 0.500), O at (0.000, 0.000, 0.313), O at (0.000, 0.500, 0.181) and O at (0.229, 0.305, 0.500).

(2)
# Sm3Sc2Fe3O12

A geometry-optimized Sm3Sc2Fe3O12 structure (PBE with a Hubbard U, Alexandria via LeMat-Bulk).

The structure belongs to space group Ia-3d (No. 230); the cell edges are 12.808, 12.808 and 12.808 Å and the angles 90.00°, 90.00° and 90.00°. The distinct sites, in fractional coordinates, are Sm at (0.000, 0.250, 0.125), Sc at (0.000, 0.000, 0.000), Fe at (0.000, 0.250, 0.375) and O at (0.028, 0.057, 0.653).

(3)
# ScFe2SnO6

A geometry-optimized ScFe2SnO6 structure (PBE with a Hubbard U, Alexandria via LeMat-Bulk).

The structure belongs to space group P1 (No. 1); the cell edges are 5.305, 5.315 and 5.659 Å and the angles 117.22°, 90.63° and 119.88°. The distinct sites, in fractional coordinates, are Sc at (0.000, 0.000, 0.000), Fe at (0.210, 0.421, 0.624), Fe at (0.722, 0.441, 0.148), Sn at (0.508, 0.017, 0.518), O at (0.119, 0.523, 0.318), O at (0.308, 0.223, 0.814), O at (0.396, 0.210, 0.324), O at (0.593, 0.892, 0.805), O at (0.809, 0.937, 0.325) and O at (0.919, 0.515, 0.805).

(4)
# ScFe2SnO

A geometry-optimized ScFe2SnO structure (PBE with a Hubbard U, Alexandria via LeMat-Bulk).

The structure belongs to space group P4/mmm (No. 123); the cell edges are 4.180, 4.180 and 5.175 Å and the angles 90.00°, 90.00° and 90.00°. The distinct sites, in fractional coordinates, are Sc at (0.000, 0.000, 0.000), Fe at (0.000, 0.500, 0.500), Sn at (0.500, 0.500, 0.000) and O at (0.500, 0.500, 0.500).

(5)
# Sc2FeSnO6

A geometry-optimized Sc2FeSnO6 structure (PBE with a Hubbard U, Alexandria via LeMat-Bulk).

The structure belongs to space group P1 (No. 1); the cell edges are 5.360, 5.379 and 5.712 Å and the angles 117.26°, 90.83° and 119.64°. The distinct sites, in fractional coordinates, are Sc at (0.000, 0.000, 0.000), Sc at (0.498, 0.995, 0.499), Fe at (0.283, 0.567, 0.862), Sn at (0.791, 0.579, 0.377), O at (0.084, 0.480, 0.190), O at (0.190, 0.066, 0.677), O at (0.401, 0.100, 0.190), O at (0.604, 0.789, 0.678), O at (0.692, 0.777, 0.180) and O at (0.887, 0.480, 0.683).

(6)
# Sr3ScFe2O9

A geometry-optimized Sr3ScFe2O9 structure (PBE with a Hubbard U, Alexandria via LeMat-Bulk).

The structure belongs to space group P-3m1 (No. 164); the cell edges are 5.6142, 5.6142 and 6.8643 Å and the angles 90.00°, 90.00° and 120.00°. The distinct sites, in fractional coordinates, are Sr at (0.0000, 0.0000, 0.0000), Sr at (0.3333, 0.6667, 0.6711), Sc at (0.0000, 0.0000, 0.5000), Fe at (0.3333, 0.6667, 0.1648), O at (0.0000, 0.5000, 0.0000) and O at (0.1720, 0.3440, 0.3240).

(7)
# Sc2FeTeO

A geometry-optimized Sc2FeTeO structure (PBE with a Hubbard U, Alexandria via LeMat-Bulk).

The structure belongs to space group P4/mmm (No. 123); the cell edges are 4.180, 4.180 and 5.567 Å and the angles 90.00°, 90.00° and 90.00°. The distinct sites, in fractional coordinates, are Sc at (0.000, 0.500, 0.000), Fe at (0.000, 0.000, 0.500), Te at (0.500, 0.500, 0.500) and O at (0.500, 0.500, 0.000).

(8)
# ThScFe2O6

A geometry-optimized ThScFe2O6 structure (PBE with a Hubbard U, Alexandria via LeMat-Bulk).

The structure belongs to space group R3 (No. 146, hexagonal axes); the cell edges are 5.4274, 5.4274 and 14.3302 Å and the angles 90.00°, 90.00° and 120.00°. The distinct sites, in fractional coordinates, are Th at (0.0000, 0.0000, 0.0000), Sc at (0.0000, 0.0000, 0.4891), Fe at (0.0000, 0.0000, 0.2818), Fe at (0.0000, 0.0000, 0.7832), O at (0.0142, 0.7058, 0.8766) and O at (0.0175, 0.4105, 0.0484).

(9)
# ScTiFe2O6

A geometry-optimized ScTiFe2O6 structure (PBE with a Hubbard U, Alexandria via LeMat-Bulk).

The structure belongs to space group R3 (No. 146, hexagonal axes); the cell edges are 5.2376, 5.2376 and 13.9755 Å and the angles 90.00°, 90.00° and 120.00°. The distinct sites, in fractional coordinates, are Sc at (0.0000, 0.0000, 0.0000), Ti at (0.0000, 0.0000, 0.4978), Fe at (0.0000, 0.0000, 0.2127), Fe at (0.0000, 0.0000, 0.7046), O at (0.0002, 0.3474, 0.7697) and O at (0.0133, 0.7185, 0.6018).

(10)
# ScUFe2O6

A geometry-optimized ScUFe2O6 structure (PBE with a Hubbard U, Alexandria via LeMat-Bulk).

The structure belongs to space group P1 (No. 1); the cell edges are 5.391, 5.400 and 5.756 Å and the angles 116.98°, 90.73° and 119.93°. The distinct sites, in fractional coordinates, are Sc at (0.000, 0.000, 0.000), U at (0.504, 0.004, 0.503), Fe at (0.301, 0.599, 0.899), Fe at (0.788, 0.578, 0.386), O at (0.104, 0.801, 0.199), O at (0.195, 0.794, 0.701), O at (0.398, 0.494, 0.206), O at (0.595, 0.500, 0.709), O at (0.706, 0.092, 0.195) and O at (0.910, 0.116, 0.708).

(11)
# Sc2UFeO8

A geometry-optimized Sc2UFeO8 structure (PBE with a Hubbard U, Alexandria via LeMat-Bulk).

The structure belongs to space group Cmmm (No. 65); the cell edges are 6.667, 6.910 and 6.366 Å and the angles 90.00°, 90.00° and 90.00°. The distinct sites, in fractional coordinates, are Sc at (0.000, 0.000, 0.234), U at (0.000, 0.500, 0.500), Fe at (0.000, 0.500, 0.000), O at (0.000, 0.313, 0.237), O at (0.193, 0.000, 0.500) and O at (0.215, 0.000, 0.000).

(12)
# Sc2VFeO6

A geometry-optimized Sc2VFeO6 structure (PBE with a Hubbard U, Alexandria via LeMat-Bulk).

The structure belongs to space group P1 (No. 1); the cell edges are 5.213, 5.281 and 5.590 Å and the angles 117.54°, 90.50° and 119.14°. The distinct sites, in fractional coordinates, are Sc at (0.000, 0.000, 0.000), Sc at (0.500, 0.004, 0.493), V at (0.795, 0.587, 0.384), Fe at (0.287, 0.568, 0.859), O at (0.054, 0.486, 0.193), O at (0.177, 0.066, 0.669), O at (0.417, 0.123, 0.191), O at (0.602, 0.775, 0.662), O at (0.683, 0.761, 0.177) and O at (0.893, 0.491, 0.679).

(13)
# ZrScFe2O6

A geometry-optimized ZrScFe2O6 structure (PBE with a Hubbard U, Alexandria via LeMat-Bulk).

The structure belongs to space group P1 (No. 1); the cell edges are 5.320, 5.336 and 5.661 Å and the angles 117.13°, 90.66° and 119.85°. The distinct sites, in fractional coordinates, are Zr at (0.000, 0.000, 0.000), Sc at (0.495, 0.989, 0.490), Fe at (0.278, 0.557, 0.851), Fe at (0.790, 0.579, 0.377), O at (0.074, 0.476, 0.189), O at (0.184, 0.059, 0.672), O at (0.406, 0.109, 0.190), O at (0.602, 0.783, 0.674), O at (0.693, 0.770, 0.179) and O at (0.885, 0.479, 0.681).

(14)
# Fe2SeO

A geometry-optimized Fe2SeO structure (PBE with a Hubbard U, Alexandria via LeMat-Bulk).

The structure belongs to space group Fm-3m (No. 225); the cell edges are 6.020, 6.020 and 6.020 Å and the angles 90.00°, 90.00° and 90.00°. The distinct sites, in fractional coordinates, are Fe at (0.250, 0.250, 0.250), Se at (0.000, 0.000, 0.000) and O at (0.000, 0.000, 0.500).

(15)
# Fe3SeO

A geometry-optimized Fe3SeO structure (PBE with a Hubbard U, Alexandria via LeMat-Bulk).

The structure belongs to space group Pm-3m (No. 221); the cell edges are 4.177, 4.177 and 4.177 Å and the angles 90.00°, 90.00° and 90.00°. The distinct sites, in fractional coordinates, are Fe at (0.000, 0.000, 0.500), Se at (0.500, 0.500, 0.500) and O at (0.000, 0.000, 0.000).

(16)
# FeSeO2

A geometry-optimized FeSeO2 structure (PBE with a Hubbard U, Alexandria via LeMat-Bulk).

The structure belongs to space group I-42d (No. 122); the cell edges are 5.407, 5.407 and 8.098 Å and the angles 90.00°, 90.00° and 90.00°. The distinct sites, in fractional coordinates, are Fe at (0.000, 0.000, 0.000), Se at (0.000, 0.000, 0.500) and O at (0.098, 0.250, 0.125).

(17)
# FeSeO2

A geometry-optimized FeSeO2 structure (PBE with a Hubbard U, Alexandria via LeMat-Bulk).

The structure belongs to space group R-3m (No. 166, hexagonal axes); the cell edges are 3.4316, 3.4316 and 16.9588 Å and the angles 90.00°, 90.00° and 120.00°. The distinct sites, in fractional coordinates, are Fe at (0.0000, 0.0000, 0.0000), Se at (0.0000, 0.0000, 0.5000) and O at (0.0000, 0.0000, 0.1124).

(18)
# FeSe2O

A geometry-optimized FeSe2O structure (PBE with a Hubbard U, Alexandria via LeMat-Bulk).

The structure belongs to space group R-3m (No. 166, hexagonal axes); the cell edges are 3.0165, 3.0165 and 25.1574 Å and the angles 90.00°, 90.00° and 120.00°. The distinct sites, in fractional coordinates, are Fe at (0.0000, 0.0000, 0.0000), Se at (0.0000, 0.0000, 0.0997) and O at (0.0000, 0.0000, 0.5000).

(19)
# FeSe2O

A geometry-optimized FeSe2O structure (PBE with a Hubbard U, Alexandria via LeMat-Bulk).

The structure belongs to space group I-42d (No. 122); the cell edges are 5.177, 5.177 and 12.364 Å and the angles 90.00°, 90.00° and 90.00°. The distinct sites, in fractional coordinates, are Fe at (0.000, 0.000, 0.000), Se at (0.174, 0.250, 0.625) and O at (0.000, 0.000, 0.500).

(20)
# Fe3SeO

A geometry-optimized Fe3SeO structure (PBE with a Hubbard U, Alexandria via LeMat-Bulk).

The structure belongs to space group Pm-3m (No. 221); the cell edges are 4.566, 4.566 and 4.566 Å and the angles 90.00°, 90.00° and 90.00°. The distinct sites, in fractional coordinates, are Fe at (0.000, 0.000, 0.500), Se at (0.000, 0.000, 0.000) and O at (0.500, 0.500, 0.500).

| no. | total DFT energy (no corrections) (eV per atom) |
| --- | --- |
| 1 | -6.6254 |
| 2 | -7.9402 |
| 3 | -7.1458 |
| 4 | -5.5686 |
| 5 | -7.7146 |
| 6 | -6.7035 |
| 7 | -6.1456 |
| 8 | -7.9076 |
| 9 | -7.9422 |
| 10 | -8.2378 |
| 11 | -8.4181 |
| 12 | -8.1833 |
| 13 | -8.0851 |
| 14 | -4.8280 |
| 15 | -4.8997 |
| 16 | -4.3559 |
| 17 | -4.6669 |
| 18 | -3.6202 |
| 19 | -4.1958 |
| 20 | -3.8690 |